Record 1
! KZnFeS3 PBE optimized geometry; values from VASP
! distance to the lowest polymorph of the same formula = 32 kJ/mol of formula units
! calculated total energy = -0.163 Ha/atom
! spin magnetization = 4.15 μB per formula unit
! V = 259.7 Å³ per cell
&SYSTEM
  ibrav = 0, nat = 12, ntyp = 4
/
ATOMIC_SPECIES
Fe 55.84 Fe.upf
K 39.10 K.upf
S 32.06 S.upf
Zn 65.41 Zn.upf
CELL_PARAMETERS angstrom
1.828 -7.167 0.000
1.828 7.167 0.000
0.000 0.000 9.912
ATOMIC_POSITIONS angstrom
Fe 0.000 0.000 0.000
Fe 0.000 0.000 4.956
K 1.828 -3.535 2.478
K 1.828 3.535 7.434
S 1.828 1.591 0.466
S 1.828 6.218 2.478
S 1.828 1.591 4.490
S 1.828 -1.591 5.422
S 1.828 -6.218 7.434
S 1.828 -1.591 9.446
Zn 1.828 0.466 2.478
Zn 1.828 -0.466 7.434



Record 2
! HfNi2Ir PBE optimized geometry; values from VASP
! calculated total energy = -0.289 Ha/atom
! calculated formation energy = -0.3770 eV/atom
! spin magnetization = 0.61 μB per formula unit
! V = 57.6 Å³ per cell
&SYSTEM
  ibrav = 0, nat = 4, ntyp = 3
/
ATOMIC_SPECIES
Hf 178.49 Hf.upf
Ir 192.22 Ir.upf
Ni 58.69 Ni.upf
CELL_PARAMETERS angstrom
0.000 3.066 3.066
3.066 0.000 3.066
3.066 3.066 0.000
ATOMIC_POSITIONS angstrom
Hf 4.599 4.599 4.599
Ir 3.066 3.066 3.066
Ni 0.000 0.000 0.000
Ni 1.533 1.533 1.533



Record 3
! SrErTe PBE optimized geometry; values from VASP
! calculated total energy = -0.130 Ha/atom
! spin magnetization = 0.08 μB per formula unit
! V = 102.8 Å³ per cell
&SYSTEM
  ibrav = 0, nat = 3, ntyp = 3
/
ATOMIC_SPECIES
Er 167.26 Er.upf
Sr 87.62 Sr.upf
Te 127.60 Te.upf
CELL_PARAMETERS angstrom
0.000 3.719 3.719
3.719 0.000 3.719
3.719 3.719 0.000
ATOMIC_POSITIONS angstrom
Er 1.859 1.859 1.859
Sr 5.578 5.578 5.578
Te 0.000 0.000 0.000



Record 4
! ScGa2Cu PBE optimized geometry; values from VASP
! calculated total energy = -0.158 Ha/atom
! spin magnetization = 0.00 μB per formula unit
! V = 65.3 Å³ per cell
&SYSTEM
  ibrav = 0, nat = 4, ntyp = 3
/
ATOMIC_SPECIES
Cu 63.55 Cu.upf
Ga 69.72 Ga.upf
Sc 44.96 Sc.upf
CELL_PARAMETERS angstrom
0.000 3.197 3.197
3.197 0.000 3.197
3.197 3.197 0.000
ATOMIC_POSITIONS angstrom
Cu 1.598 1.598 1.598
Ga 0.000 0.000 0.000
Ga 4.795 4.795 4.795
Sc 3.197 3.197 3.197



Record 5
! Hf4SnAsC2 PBE optimized geometry; values from VASP
! calculated total energy = -0.340 Ha/atom
! spin magnetization = 0.00 μB per formula unit
! V = 133.8 Å³ per cell
&SYSTEM
  ibrav = 0, nat = 8, ntyp = 4
/
ATOMIC_SPECIES
As 74.92 As.upf
C 12.01 C.upf
Hf 178.49 Hf.upf
Sn 118.71 Sn.upf
CELL_PARAMETERS angstrom
-2.047 1.422 -2.286
-1.128 -2.535 1.935
-4.145 8.912 9.257
ATOMIC_POSITIONS angstrom
As -3.813 4.559 3.750
C -2.538 1.157 2.992
C -4.476 5.324 7.321
Hf -2.474 1.679 0.757
Hf -1.484 3.190 3.314
Hf -2.662 5.722 5.944
Hf -5.153 7.440 6.742
Sn 0.000 0.000 0.000



Record 6
! Re2PbCl2 PBE optimized geometry; values from VASP
! calculated total energy = -0.185 Ha/atom
! spin magnetization = 0.08 μB per formula unit
! V = 239.7 Å³ per cell
&SYSTEM
  ibrav = 0, nat = 10, ntyp = 3
/
ATOMIC_SPECIES
Cl 35.45 Cl.upf
Pb 207.20 Pb.upf
Re 186.21 Re.upf
CELL_PARAMETERS angstrom
-3.302 3.302 5.494
3.302 -3.302 5.494
3.302 3.302 -5.494
ATOMIC_POSITIONS angstrom
Cl 1.651 0.000 4.121
Cl 0.000 1.651 6.868
Cl 1.651 3.302 -1.374
Cl 3.302 1.651 1.374
Pb 0.000 0.000 0.000
Pb 0.000 3.302 2.747
Re 0.000 0.000 2.701
Re 0.000 0.000 8.287
Re 0.000 3.302 0.046
Re 0.000 3.302 5.448



Record 7
! YHoCd4 PBE optimized geometry; values from VASP
! distance to the lowest polymorph of the same formula = 0 kJ/mol of formula units
! calculated total energy = -0.102 Ha/atom
! calculated formation energy = -0.3343 eV/atom
! spin magnetization = 0.03 μB per formula unit
! V = 145.1 Å³ per cell
&SYSTEM
  ibrav = 0, nat = 6, ntyp = 3
/
ATOMIC_SPECIES
Cd 112.41 Cd.upf
Ho 164.93 Ho.upf
Y 88.91 Y.upf
CELL_PARAMETERS angstrom
3.433 0.000 0.000
0.000 4.945 0.000
-0.007 0.000 8.546
ATOMIC_POSITIONS angstrom
Cd 3.431 0.013 1.448
Cd 3.426 2.486 2.867
Cd -0.005 2.486 5.712
Cd 3.426 0.013 7.130
Ho 1.711 0.014 4.289
Y 1.715 2.486 0.016



Record 8
! ZnFeW2N4 PBE optimized geometry; values from VASP
! calculated total energy = -0.325 Ha/atom
! spin magnetization = 3.58 μB per formula unit
! V = 79.5 Å³ per cell
&SYSTEM
  ibrav = 0, nat = 8, ntyp = 4
/
ATOMIC_SPECIES
Fe 55.84 Fe.upf
N 14.01 N.upf
W 183.84 W.upf
Zn 65.41 Zn.upf
CELL_PARAMETERS angstrom
-0.231 2.884 0.167
-2.238 -1.679 0.757
3.701 -0.300 10.275
ATOMIC_POSITIONS angstrom
Fe 0.000 0.000 0.000
N -1.086 -0.197 1.900
N -0.202 -0.269 4.355
N 1.434 1.174 6.844
N 2.318 1.102 9.299
W 0.922 -0.075 2.561
W 2.778 -0.225 7.714
Zn 1.850 -0.150 5.137